1.
Computed, not measured: a geometry-optimized PaTi2Si structure at the GGA-PBE level of DFT.

Summary:
- formation energy (no corrections) (eV/atom) = -0.341

abc: 4.3645 4.3645 3.6643
angles: 90.00 90.00 90.00
Sites, in units of the cell vectors:
Pa 0.0000 0.0000 0.0000
Ti 0.0000 0.5000 0.5000
Ti 0.5000 0.0000 0.5000
Si 0.5000 0.5000 0.0000


2.
Computed, not measured: a geometry-optimized CsNaGa2Sb structure at the GGA-PBE level of DFT.

Summary:
- formation energy (no corrections) (eV/atom) = 0.977

abc: 5.9545 5.9545 5.8582
angles: 90.00 90.00 90.00
Sites, in units of the cell vectors:
Cs 0.0000 0.0000 0.0000
Na 0.0000 0.0000 0.5000
Ga 0.0000 0.5000 0.0000
Ga 0.5000 0.0000 0.0000
Sb 0.5000 0.5000 0.5000


3.
Computed, not measured: a geometry-optimized TaCrOs2 structure at the GGA-PBE level of DFT.

Summary:
- formation energy from the elements (eV per formula unit) = 0.408

abc: 2.7380 4.1632 5.3568
angles: 90.00 104.49 90.00
Sites, in units of the cell vectors:
Ta 0.0000 0.0000 0.0000
Cr 0.4068 0.5000 0.2646
Os 0.5328 0.5000 0.7515
Os 0.9091 0.0000 0.4769


4.
Computed, not measured: a geometry-optimized CeBiH2 structure at the GGA-PBE level of DFT.

Summary:
- polymorph energy (0 for the lowest one) (meV per atom) = 18.5

abc: 6.3630 6.3630 6.3812
angles: 90.00 90.00 145.61
Sites, in units of the cell vectors:
Ce 0.2158 0.7842 0.7500
Ce 0.7842 0.2158 0.2500
Bi 0.0525 0.9475 0.2500
Bi 0.9475 0.0525 0.7500
H 0.3032 0.6968 0.0571
H 0.3032 0.6968 0.4429
H 0.6968 0.3032 0.5571
H 0.6968 0.3032 0.9429